1.
A relaxed Rb2TcCl6F crystal, computed with PBE.

For the energy relative to the elements, uncorrected, the calculation gives -1.18 eV per atom.

The space group is I4/mmm (No. 139) and the conventional cell measures 7.619, 7.619 and 9.698 Å, with angles of 90.00, 90.00 and 90.00 degrees. The distinct sites, in fractional coordinates, are Rb at (0.000, 0.500, 0.250), Tc at (0.000, 0.000, 0.000), Cl at (0.000, 0.000, 0.243), Cl at (0.220, 0.220, 0.000) and F at (0.000, 0.000, 0.500).

=====

2.
A relaxed Rb2Tl12Cd crystal, computed with PBE.

As for the formation energy: 0.005 eV/atom.

The space group is P4/nbm (No. 125, origin choice 2) and the conventional cell measures 7.425, 7.425 and 19.221 Å, with angles of 90.00, 90.00 and 90.00 degrees. The distinct sites, in fractional coordinates, are Rb at (0.250, 0.750, 0.249), Tl at (0.000, 0.000, 0.413), Tl at (0.087, 0.587, 0.066), Tl at (0.250, 0.250, 0.153), Tl at (0.250, 0.250, 0.318) and Cd at (0.250, 0.750, 0.500).

=====

3.
A relaxed Pr3Dy6Er2Th crystal, computed with PBE.

As for the formation energy: 0.022 eV/atom.

The space group is C2/m (No. 12) and the conventional cell measures 6.210, 10.753 and 11.862 Å, with angles of 90.00, 100.07 and 90.00 degrees. The distinct sites, in fractional coordinates, are Pr at (0.000, 0.000, 0.000), Pr at (0.000, 0.333, 0.000), Dy at (0.247, 0.335, 0.745), Dy at (0.248, 0.500, 0.255), Er at (0.000, 0.167, 0.500) and Th at (0.000, 0.500, 0.500).

=====

4.
A relaxed FeMoC3 crystal, computed with PBE.

As for the formation energy: 2.006 eV/atom. Its energy above the most stable polymorph in this dataset is 0 meV per atom.

The space group is Pm-3m (No. 221) and the conventional cell measures 3.672, 3.672 and 3.672 Å, with angles of 90.00, 90.00 and 90.00 degrees. The distinct sites, in fractional coordinates, are Fe at (0.000, 0.000, 0.000), Mo at (0.500, 0.500, 0.500) and C at (0.000, 0.000, 0.500).

=====

5.
A relaxed CuPSO crystal, computed with PBE.

For the energy relative to the elements, uncorrected, the calculation gives -0.68 eV per atom. Its energy above the most stable polymorph in this dataset is 0 meV per atom.

The space group is P1 (No. 1) and the conventional cell measures 4.071, 5.855 and 5.893 Å, with angles of 83.82, 83.37 and 78.26 degrees. The distinct sites, in fractional coordinates, are Cu at (0.000, 0.000, 0.000), Cu at (0.288, 0.449, 0.300), P at (0.040, 0.728, 0.755), P at (0.492, 0.433, 0.777), S at (0.017, 0.786, 0.409), S at (0.427, 0.187, 0.053), O at (0.617, 0.321, 0.557) and O at (0.752, 0.568, 0.869).

=====

6.
A relaxed UOsCl2O6 crystal, computed with PBE.

For the energy relative to the elements, uncorrected, the calculation gives -1.42 eV per atom.

The space group is P-1 (No. 2) and the conventional cell measures 5.411, 5.711 and 6.521 Å, with angles of 64.14, 86.23 and 89.99 degrees. The distinct sites, in fractional coordinates, are U at (0.000, 0.000, 0.000), Os at (0.500, 0.500, 0.000), Cl at (0.140, 0.801, 0.399), O at (0.259, 0.288, 0.942), O at (0.261, 0.771, 0.941) and O at (0.397, 0.354, 0.293).

=====

7.
A relaxed Ca3ScAu crystal, computed with PBE.

As for the formation energy: 0.791 eV/atom. Its energy above the most stable polymorph in this dataset is 820 meV per atom.

The space group is Pm-3m (No. 221) and the conventional cell measures 5.854, 5.854 and 5.854 Å, with angles of 90.00, 90.00 and 90.00 degrees. The distinct sites, in fractional coordinates, are Ca at (0.000, 0.000, 0.500), Sc at (0.000, 0.000, 0.000) and Au at (0.500, 0.500, 0.500).

=====

8.
A relaxed Pm2Pr2Y7 crystal, computed with PBE.

As for the formation energy: 0.180 eV/atom. Its energy above the most stable polymorph in this dataset is 67 meV per atom.

The space group is C2/m (No. 12) and the conventional cell measures 9.545, 9.371 and 8.565 Å, with angles of 90.00, 101.49 and 90.00 degrees. The distinct sites, in fractional coordinates, are Pm at (0.000, 0.179, 0.000), Pr at (0.109, 0.500, 0.362), Y at (0.000, 0.000, 0.500), Y at (0.187, 0.500, 0.018) and Y at (0.199, 0.299, 0.689).

=====

9.
A relaxed Zr2H2N crystal, computed with PBE.

The calculation puts the total energy at -145.047 eV for the cell shown.

The space group is C2/c (No. 15) and the conventional cell measures 7.089, 8.317 and 5.016 Å, with angles of 90.00, 134.82 and 90.00 degrees. The distinct sites, in fractional coordinates, are Zr at (0.000, 0.116, 0.250), Zr at (0.000, 0.366, 0.750), H at (0.122, 0.125, 0.750) and N at (0.000, 0.375, 0.250).

=====

10.
A relaxed Sr2Cd2Pb crystal, computed with PBE.

As for the formation energy: -0.158 eV/atom. Its energy above the most stable polymorph in this dataset is 231 meV per atom.

The space group is I4/mmm (No. 139) and the conventional cell measures 6.438, 6.438 and 8.903 Å, with angles of 90.00, 90.00 and 90.00 degrees. The distinct sites, in fractional coordinates, are Sr at (0.000, 0.500, 0.250), Cd at (0.000, 0.000, 0.152) and Pb at (0.000, 0.000, 0.500).

=====

Repeat the third record exactly.
A relaxed Pr3Dy6Er2Th crystal, computed with PBE.

As for the formation energy: 0.022 eV/atom.

The space group is C2/m (No. 12) and the conventional cell measures 6.210, 10.753 and 11.862 Å, with angles of 90.00, 100.07 and 90.00 degrees. The distinct sites, in fractional coordinates, are Pr at (0.000, 0.000, 0.000), Pr at (0.000, 0.333, 0.000), Dy at (0.247, 0.335, 0.745), Dy at (0.248, 0.500, 0.255), Er at (0.000, 0.167, 0.500) and Th at (0.000, 0.500, 0.500).